Y2CoSb | the Alexandria database | meta-GGA SCAN | PBEsol geometry; total magnetization = 0.61 μB per cell; space group = Imm2 (44); ΔE_f (raw) = -44 kJ/mol of atoms
1.0
-0.7373 -1.0603 3.1835
-1.2326 -4.1276 -1.6602
6.1693 0.8028 -0.1575
Sb Co Y
1 1 2
Direct
0.1930 0.6930 0.3859
0.5143 0.5143 0.0286
0.7910 0.2910 0.5819
0.0018 0.0018 0.0036